Pm2PuSb3: relaxed, PBE.

Fermi-level density of states, states/eV per cell: 30.47
ΔE_f (raw), kcal/mol of atoms: -22.7
Offset from the most stable computed form, eV per atom: 0.000
Symmetry: C2/m (12)
Crystal system: monoclinic
Raw total energy, eV per atom: -7.019

Cell and atoms, written as POSCAR:
```
Pm2PuSb3
1.0
7.6367 -0.0245 -1.2765
-4.1154 6.4330 -1.2765
-0.0144 -0.0262 7.7356
Pm Sb Pu
4 6 2
Direct
0.3333 0.6667 0.0000
0.1682 0.8318 0.5000
0.8333 0.1667 0.5000
0.4985 0.5015 0.5000
0.9139 0.5846 0.7543
0.4154 0.0861 0.2457
0.5892 0.9225 0.7549
0.7528 0.7487 0.2457
0.2513 0.2472 0.7543
0.0775 0.4108 0.2451
0.6663 0.3337 0.0000
0.0004 0.9996 0.0000
```



Li2CeTl2S4: relaxed, PBE.

ΔE_f (raw), kcal/mol of atoms: -26.8
Symmetry: C2/m (12)
Crystal system: monoclinic
Raw total energy, eV per atom: -4.605

Cell and atoms, written as POSCAR:
```
Li2CeTl2S4
1.0
-1.8109 -2.7284 -2.5510
-2.1796 -4.0343 5.8622
-4.2498 6.4417 -0.4955
Li Ce Tl S
2 1 2 4
Direct
0.3173 0.0101 0.6346
0.6827 0.9899 0.3654
0.0000 0.0000 0.0000
0.8594 0.4350 0.7188
0.1406 0.5650 0.2812
0.5166 0.7719 0.0332
0.8031 0.8301 0.6062
0.4834 0.2281 0.9668
0.1969 0.1699 0.3938
```



HoLuSiPd: relaxed, PBE.

Fermi-level density of states, states/eV per cell: 1.43
ΔE_f (raw), kcal/mol of atoms: -17.2
Symmetry: F-43m (216)
Crystal system: cubic
Raw total energy, eV per atom: -5.676

Cell and atoms, written as POSCAR:
```
HoLuSiPd
1.0
-1.4898 -4.6649 0.3813
-0.3199 -2.8119 -4.0145
3.1973 -3.6637 -0.6934
Pd Lu Si Ho
1 1 1 1
Direct
0.7500 0.7500 0.7500
0.5000 0.5000 0.5000
0.2500 0.2500 0.2500
0.0000 0.0000 0.0000
```



LaMg2Cd2: relaxed, PBE.

Fermi-level density of states, states/eV per cell: 7.56
Formation energy from the elements, kJ/mol of atoms: -14
Offset from the most stable computed form, eV per atom: 0.081
Symmetry: P4/mbm (127)
Crystal system: tetragonal
Raw total energy, eV per atom: -2.132

Cell and atoms, written as POSCAR:
```
LaMg2Cd2
1.0
-8.7627 0.9850 -0.6319
-0.5215 -7.5603 -4.5525
-0.3814 -1.6291 2.7491
Mg Cd La
4 4 2
Direct
0.3330 0.1670 0.5000
0.8330 0.3330 0.5000
0.1670 0.6670 0.5000
0.6670 0.8330 0.5000
0.8711 0.6289 0.0000
0.3711 0.8711 0.0000
0.1289 0.3711 0.0000
0.6289 0.1289 0.0000
0.0000 0.0000 0.0000
0.5000 0.5000 0.0000
```



Listing total magnetization for the structures above in their given order: 5.03, 0.00, 0.00, 0.00 μB/f.u..